A plane-wave DFT calculation with PBE-GGA was carried out for a geometry-optimized TmThSc4 structure.

The value obtained for the formation enthalpy at 0 K is 34.3 meV/atom. The calculated volume is 160.0 Å³/cell. Its energy above the most stable polymorph in this dataset is 0.009 eV/atom. As for the total DFT energy (no corrections): -6.17 eV per atom.

It has space group P-1 (No. 2), with a = 3.315 Å, b = 5.280 Å, c = 9.139 Å, α = 89.96°, β = 89.96° and γ = 89.95°. Symmetry generates all atoms from Tm at (0.000, 0.000, 0.000), Th at (0.000, 0.500, 0.500), Sc at (0.498, 0.500, 0.166) and Sc at (0.499, 0.000, 0.332).